No. 1
CdBr2: relaxed, PBE.

```
CdBr2
1.0
6.527 0.000 0.000
0.000 6.934 0.000
0.000 0.000 4.077
Cd Br
2 4
Direct
0.000 0.000 0.000
0.500 0.500 0.500
0.234 0.154 0.500
0.266 0.654 0.000
0.734 0.346 0.000
0.766 0.846 0.500
```

For the total energy, the calculation gives -2.224 eV per atom. The energy relative to the elements, uncorrected comes out at -0.80 eV/atom.

---

No. 2
Cd3Br: relaxed, PBE.

```
Cd3Br
1.0
9.633 0.000 0.000
-4.816 8.342 0.000
0.000 0.000 4.062
Cd Br
9 3
Direct
0.000 0.500 0.000
0.167 0.333 0.333
0.167 0.833 0.333
0.333 0.167 0.667
0.500 0.000 0.000
0.500 0.500 0.000
0.667 0.833 0.333
0.833 0.167 0.667
0.833 0.667 0.667
0.000 0.000 0.000
0.333 0.667 0.667
0.667 0.333 0.333
```

For the total energy, the calculation gives -1.198 eV per atom. The energy relative to the elements, uncorrected comes out at -0.09 eV/atom. For the relative energy among the computed polymorphs, the calculation gives 101 meV per atom.

---

No. 3
CdBr2: relaxed, PBE.

```
CdBr2
1.0
3.915 0.000 0.000
-1.957 3.390 0.000
0.000 0.000 14.473
Cd Br
2 4
Direct
0.000 0.000 0.250
0.000 0.000 0.750
0.333 0.667 0.129
0.333 0.667 0.371
0.667 0.333 0.629
0.667 0.333 0.871
```

For the total energy, the calculation gives -2.158 eV per atom. The energy relative to the elements, uncorrected comes out at -0.74 eV/atom.